1.
This record from Alexandria via LeMat-Bulk describes Zn2IrCCl after structural relaxation. The functional is PBE.

## Properties
Formation energy from raw total energies, eV per formula unit: 7.84

Lattice parameters (Å, degrees): 4.9641 4.5388 4.9641 90.00 90.00 90.00
With the nearest neighbours (Å) after each atom.
Element x y z (fractional)
C1 0.5000 0.5000 0.5000  8 Zn 3.36, 4 Cl 3.51
Ir1 0.0000 0.0000 0.0000  2 Cl 2.27, 4 Zn 2.48
Zn1 0.5000 0.0000 0.0000  2 Ir 2.48
Zn2 0.0000 0.0000 0.5000  2 Ir 2.48
Cl1 0.0000 0.5000 0.0000  2 Ir 2.27

2.
This record from Alexandria via LeMat-Bulk describes YCo5B3 after structural relaxation. The functional is PBE.

## Properties
Formation energy from the elements, eV per atom: -0.271

Lattice parameters (Å, degrees): 3.4405 5.7038 10.3078 90.00 90.00 107.55
With the nearest neighbours (Å) after each atom.
Element x y z (fractional)
Co1 0.7994 0.5988 0.0653  2 B 1.99-2.09
Co2 0.5544 0.1089 0.8562  4 B 2.04-2.17, 1 Co 2.19
Co3 0.2006 0.4012 0.5653  2 B 1.99-2.09
Co4 0.4456 0.8911 0.3562  4 B 2.04-2.17, 1 Co 2.19
Co5 0.2006 0.4012 0.9347  2 B 1.99-2.09
Co6 0.0000 0.0000 0.5000  4 B 2.19, 6 Co 2.28-2.35
Co7 0.0000 0.0000 0.0000  4 B 2.19, 6 Co 2.28-2.35
Co8 0.4456 0.8911 0.1438  4 B 2.04-2.17, 1 Co 2.19
Co9 0.7994 0.5988 0.4347  2 B 1.99-2.09
Co10 0.5544 0.1089 0.6438  4 B 2.04-2.17, 1 Co 2.19
B1 0.3824 0.7648 0.9575  5 Co 1.99-2.19
B2 0.3824 0.7648 0.5425  5 Co 1.99-2.19
B3 0.8785 0.7569 0.2500  6 Co 2.09-2.17
B4 0.6176 0.2352 0.0425  5 Co 1.99-2.19
B5 0.1215 0.2431 0.7500  6 Co 2.09-2.17
B6 0.6176 0.2352 0.4575  5 Co 1.99-2.19
Y1 0.1651 0.3302 0.2500  7 B 2.79-3.12, 4 Co 2.95
Y2 0.8349 0.6698 0.7500  7 B 2.79-3.12, 4 Co 2.95

3.
This record from Alexandria via LeMat-Bulk describes LaNi4 after structural relaxation. The functional is PBE.

## Properties
Formation energy from the elements, eV per atom: -0.139

Lattice parameters (Å, degrees): 7.3612 7.3612 7.3612 109.47 109.47 109.47
With the nearest neighbours (Å) after each atom.
Element x y z (fractional)
La1 0.0000 0.5447 0.0000  1 Ni 2.56
La2 0.4553 0.4553 0.4553  1 Ni 2.56
La3 0.0000 0.0000 0.5447  1 Ni 2.56
La4 0.5447 0.0000 0.0000  1 Ni 2.56
Ni1 0.2500 0.5000 0.7500  4 Ni 2.46
Ni2 0.6456 0.6456 0.0000  7 Ni 2.46-2.48
Ni3 0.1963 0.0000 0.0000  6 Ni 2.36-2.48, 1 La 2.56
Ni4 0.3544 0.3544 0.0000  7 Ni 2.46-2.48
Ni5 0.5000 0.7500 0.2500  4 Ni 2.46
Ni6 0.7500 0.5000 0.2500  4 Ni 2.46
Ni7 0.0000 0.6456 0.6456  7 Ni 2.46-2.48
Ni8 0.6456 0.0000 0.6456  7 Ni 2.46-2.48
Ni9 0.0000 0.1963 0.0000  6 Ni 2.36-2.48, 1 La 2.56
Ni10 0.8037 0.8037 0.8037  6 Ni 2.36-2.48, 1 La 2.56
Ni11 0.5000 0.2500 0.7500  4 Ni 2.46
Ni12 0.3544 0.0000 0.3544  7 Ni 2.46-2.48
Ni13 0.0000 0.0000 0.1963  6 Ni 2.36-2.48, 1 La 2.56
Ni14 0.2500 0.7500 0.5000  4 Ni 2.46
Ni15 0.0000 0.3544 0.3544  7 Ni 2.46-2.48
Ni16 0.7500 0.2500 0.5000  4 Ni 2.46

4.
This record from Alexandria via LeMat-Bulk describes Sc5VN6 after structural relaxation. The functional is PBE.

## Properties
Formation energy from raw total energies, eV per formula unit: -20.93

Lattice parameters (Å, degrees): 5.4460 5.4453 5.4389 59.96 80.35 70.44
With the nearest neighbours (Å) after each atom.
Element x y z (fractional)
N1 0.7551 0.7577 0.0000  1 V 2.17, 5 Sc 2.21-2.28
N2 0.2449 0.2423 0.0000  1 V 2.17, 5 Sc 2.21-2.28
N3 0.7574 0.0809 0.3225  1 V 2.15, 5 Sc 2.22-2.29
N4 0.7574 0.4034 0.6775  1 V 2.15, 5 Sc 2.22-2.29
N5 0.2426 0.9191 0.6775  1 V 2.15, 5 Sc 2.22-2.29
N6 0.2426 0.5966 0.3225  1 V 2.15, 5 Sc 2.22-2.29
Sc1 0.5000 0.5000 0.0000  6 N 2.22-2.28
Sc2 0.5000 0.1660 0.6680  6 N 2.21-2.29
Sc3 0.0000 0.6666 0.6669  6 N 2.22-2.23
Sc4 0.5000 0.8340 0.3320  6 N 2.21-2.29
Sc5 0.0000 0.3334 0.3331  6 N 2.22-2.23
V1 0.0000 0.0000 0.0000  6 N 2.15-2.17

5.
This record from Alexandria via LeMat-Bulk describes RbLi2ZnSi after structural relaxation. The functional is PBE.

## Properties
Formation energy from raw total energies, eV per formula unit: 0.06

Lattice parameters (Å, degrees): 5.1434 5.1434 4.8694 90.00 90.00 90.00
With the nearest neighbours (Å) after each atom.
Element x y z (fractional)
Li1 0.0000 0.5000 0.0000  2 Si 2.57
Li2 0.5000 0.0000 0.0000  2 Si 2.57
Si1 0.0000 0.0000 0.0000  2 Zn 2.43, 4 Li 2.57
Zn1 0.0000 0.0000 0.5000  2 Si 2.43
Rb1 0.5000 0.5000 0.5000  8 Li 3.54, 4 Zn 3.64

6.
This record from Alexandria via LeMat-Bulk describes CoPN3 after structural relaxation. The functional is PBE.

## Properties
Formation energy from raw total energies, eV per formula unit: 5.63

Lattice parameters (Å, degrees): 3.4447 3.4447 3.4447 90.00 90.00 90.00
With the nearest neighbours (Å) after each atom.
Element x y z (fractional)
N1 0.0000 0.5000 0.0000  2 P 1.72
N2 0.5000 0.0000 0.0000  2 P 1.72
N3 0.0000 0.0000 0.5000  2 P 1.72
P1 0.0000 0.0000 0.0000  6 N 1.72
Co1 0.5000 0.5000 0.5000  12 N 2.44

7.
This record from Alexandria via LeMat-Bulk describes Fe4IrSe after structural relaxation. The functional is PBE.

## Properties
Formation energy from raw total energies, eV per formula unit: 2.20

Lattice parameters (Å, degrees): 4.8887 4.8887 4.8887 60.00 60.00 60.00
With the nearest neighbours (Å) after each atom.
Element x y z (fractional)
Fe1 0.3755 0.8736 0.3755  6 Fe 2.44-2.45
Fe2 0.3755 0.3755 0.3755  6 Fe 2.44-2.45
Fe3 0.3755 0.3755 0.8736  6 Fe 2.44-2.45
Fe4 0.8736 0.3755 0.3755  6 Fe 2.44-2.45
Se1 0.0000 0.0000 0.0000  12 Fe 2.87, 4 Ir 2.99
Ir1 0.7500 0.7500 0.7500  12 Fe 2.87, 4 Se 2.99

8.
This record from Alexandria via LeMat-Bulk describes La2Tl2Se after structural relaxation. The functional is PBE.

## Properties
Formation energy from raw total energies, eV per formula unit: -3.91

Lattice parameters (Å, degrees): 7.9652 7.9652 5.2195 90.00 90.00 90.00
With the nearest neighbours (Å) after each atom.
Element x y z (fractional)
La1 0.3333 0.8333 0.0000  2 Se 2.97
La2 0.6667 0.1667 0.0000  2 Se 2.97
La3 0.1667 0.3333 0.0000  2 Se 2.97
La4 0.8333 0.6667 0.0000  2 Se 2.97
Se1 0.0000 0.0000 0.0000  4 La 2.97
Se2 0.5000 0.5000 0.0000  4 La 2.97
Tl1 0.3593 0.1407 0.5000  1 Tl 3.17, 2 La 3.39
Tl2 0.1407 0.6407 0.5000  1 Tl 3.17, 2 La 3.39
Tl3 0.6407 0.8593 0.5000  1 Tl 3.17, 2 La 3.39
Tl4 0.8593 0.3593 0.5000  1 Tl 3.17, 2 La 3.39